[1]
# CuPt3C, single point on PBEsol structure, DFT meta-GGA SCAN
# formation energy: 0.42 eV/atom
data_CuPt3C
_cell_length_a 4.079
_cell_length_b 4.079
_cell_length_c 4.079
_cell_angle_alpha 90.00
_cell_angle_beta 90.00
_cell_angle_gamma 90.00
_space_group_name_H-M_alt 'P m -3 m'
_space_group_IT_number 221
_space_group_name_Hall '-P 4 2 3'
loop_
_atom_site_label
_atom_site_type_symbol
_atom_site_fract_x
_atom_site_fract_y
_atom_site_fract_z
_atom_site_occupancy
Cu1 Cu 0.000 0.000 0.000 1
Pt1 Pt 0.000 0.500 0.500 1
C1 C 0.500 0.500 0.500 1

[2]
# CuPtC2, single point on PBEsol structure, DFT meta-GGA SCAN
# formation energy: 1.84 eV/atom
data_CuPtC2
_cell_length_a 5.338
_cell_length_b 5.338
_cell_length_c 5.338
_cell_angle_alpha 90.00
_cell_angle_beta 90.00
_cell_angle_gamma 90.00
_space_group_name_H-M_alt 'F m -3 m'
_space_group_IT_number 225
_space_group_name_Hall '-F 4 2 3'
loop_
_atom_site_label
_atom_site_type_symbol
_atom_site_fract_x
_atom_site_fract_y
_atom_site_fract_z
_atom_site_occupancy
Cu1 Cu 0.000 0.000 0.000 1
Pt1 Pt 0.000 0.000 0.500 1
C1 C 0.250 0.250 0.250 1

[3]
# Cu3ReC, single point on PBEsol structure, DFT meta-GGA SCAN
# formation energy: 2.95 eV/atom
data_Cu3ReC
_cell_length_a 4.555
_cell_length_b 4.555
_cell_length_c 4.555
_cell_angle_alpha 90.00
_cell_angle_beta 90.00
_cell_angle_gamma 90.00
_space_group_name_H-M_alt 'P m -3 m'
_space_group_IT_number 221
_space_group_name_Hall '-P 4 2 3'
loop_
_atom_site_label
_atom_site_type_symbol
_atom_site_fract_x
_atom_site_fract_y
_atom_site_fract_z
_atom_site_occupancy
Cu1 Cu 0.000 0.000 0.500 1
Re1 Re 0.000 0.000 0.000 1
C1 C 0.500 0.500 0.500 1

[4]
# CuSbRh2C, single point on PBEsol structure, DFT meta-GGA SCAN
# formation energy from raw total energies: 0.2312 eV/atom
data_CuSbRh2C
_cell_length_a 4.124
_cell_length_b 4.124
_cell_length_c 3.978
_cell_angle_alpha 90.00
_cell_angle_beta 90.00
_cell_angle_gamma 90.00
_space_group_name_H-M_alt 'P 4/m m m'
_space_group_IT_number 123
_space_group_name_Hall '-P 4 2'
loop_
_atom_site_label
_atom_site_type_symbol
_atom_site_fract_x
_atom_site_fract_y
_atom_site_fract_z
_atom_site_occupancy
Cu1 Cu 0.000 0.000 0.000 1
Sb1 Sb 0.500 0.500 0.000 1
Rh1 Rh 0.000 0.500 0.500 1
C1 C 0.000 0.000 0.500 1

[5]
# CuCS3, single point on PBEsol structure, DFT meta-GGA SCAN
# formation energy from raw total energies: 1.9803 eV/atom
data_CuCS3
_cell_length_a 4.383
_cell_length_b 4.383
_cell_length_c 4.383
_cell_angle_alpha 90.00
_cell_angle_beta 90.00
_cell_angle_gamma 90.00
_space_group_name_H-M_alt 'P m -3 m'
_space_group_IT_number 221
_space_group_name_Hall '-P 4 2 3'
loop_
_atom_site_label
_atom_site_type_symbol
_atom_site_fract_x
_atom_site_fract_y
_atom_site_fract_z
_atom_site_occupancy
Cu1 Cu 0.000 0.000 0.000 1
C1 C 0.500 0.500 0.500 1
S1 S 0.000 0.000 0.500 1

[6]
# CuTeCS2, single point on PBEsol structure, DFT meta-GGA SCAN
# formation energy from raw total energies: 1.0553 eV/atom
data_CuTeCS2
_cell_length_a 4.455
_cell_length_b 4.455
_cell_length_c 3.788
_cell_angle_alpha 90.00
_cell_angle_beta 90.00
_cell_angle_gamma 90.00
_space_group_name_H-M_alt 'P 4/m m m'
_space_group_IT_number 123
_space_group_name_Hall '-P 4 2'
loop_
_atom_site_label
_atom_site_type_symbol
_atom_site_fract_x
_atom_site_fract_y
_atom_site_fract_z
_atom_site_occupancy
Cu1 Cu 0.000 0.000 0.000 1
Te1 Te 0.500 0.500 0.000 1
C1 C 0.000 0.000 0.500 1
S1 S 0.000 0.500 0.500 1

[7]
# Cu2CSe, single point on PBEsol structure, DFT meta-GGA SCAN
# formation energy from raw total energies: 1.3460 eV/atom
data_Cu2CSe
_cell_length_a 5.797
_cell_length_b 5.797
_cell_length_c 5.797
_cell_angle_alpha 90.00
_cell_angle_beta 90.00
_cell_angle_gamma 90.00
_space_group_name_H-M_alt 'F m -3 m'
_space_group_IT_number 225
_space_group_name_Hall '-F 4 2 3'
loop_
_atom_site_label
_atom_site_type_symbol
_atom_site_fract_x
_atom_site_fract_y
_atom_site_fract_z
_atom_site_occupancy
Cu1 Cu 0.250 0.250 0.250 1
C1 C 0.000 0.000 0.000 1
Se1 Se 0.000 0.000 0.500 1

[8]
# Sr2CuSnC, single point on PBEsol structure, DFT meta-GGA SCAN
# formation energy: 1.00 eV/atom
data_Sr2CuSnC
_cell_length_a 6.176
_cell_length_b 6.176
_cell_length_c 4.685
_cell_angle_alpha 90.00
_cell_angle_beta 90.00
_cell_angle_gamma 90.00
_space_group_name_H-M_alt 'P 4/m m m'
_space_group_IT_number 123
_space_group_name_Hall '-P 4 2'
loop_
_atom_site_label
_atom_site_type_symbol
_atom_site_fract_x
_atom_site_fract_y
_atom_site_fract_z
_atom_site_occupancy
Sr1 Sr 0.000 0.500 0.000 1
Cu1 Cu 0.000 0.000 0.500 1
Sn1 Sn 0.000 0.000 0.000 1
C1 C 0.500 0.500 0.500 1

[9]
# Y2CuSnC, single point on PBEsol structure, DFT meta-GGA SCAN
# formation energy: -0.06 eV/atom
data_Y2CuSnC
_cell_length_a 4.811
_cell_length_b 4.811
_cell_length_c 4.374
_cell_angle_alpha 90.00
_cell_angle_beta 90.00
_cell_angle_gamma 90.00
_space_group_name_H-M_alt 'P 4/m m m'
_space_group_IT_number 123
_space_group_name_Hall '-P 4 2'
loop_
_atom_site_label
_atom_site_type_symbol
_atom_site_fract_x
_atom_site_fract_y
_atom_site_fract_z
_atom_site_occupancy
Y1 Y 0.000 0.500 0.000 1
Cu1 Cu 0.000 0.000 0.500 1
Sn1 Sn 0.500 0.500 0.500 1
C1 C 0.500 0.500 0.000 1

[10]
# SrCuC3, single point on PBEsol structure, DFT meta-GGA SCAN
# formation energy: 2.02 eV/atom
data_SrCuC3
_cell_length_a 3.978
_cell_length_b 3.978
_cell_length_c 3.978
_cell_angle_alpha 90.00
_cell_angle_beta 90.00
_cell_angle_gamma 90.00
_space_group_name_H-M_alt 'P m -3 m'
_space_group_IT_number 221
_space_group_name_Hall '-P 4 2 3'
loop_
_atom_site_label
_atom_site_type_symbol
_atom_site_fract_x
_atom_site_fract_y
_atom_site_fract_z
_atom_site_occupancy
Sr1 Sr 0.000 0.000 0.000 1
Cu1 Cu 0.500 0.500 0.500 1
C1 C 0.000 0.500 0.500 1

[11]
# Cu3TcC, single point on PBEsol structure, DFT meta-GGA SCAN
# formation energy: 0.79 eV/atom
data_Cu3TcC
_cell_length_a 3.821
_cell_length_b 3.821
_cell_length_c 3.821
_cell_angle_alpha 90.00
_cell_angle_beta 90.00
_cell_angle_gamma 90.00
_space_group_name_H-M_alt 'P m -3 m'
_space_group_IT_number 221
_space_group_name_Hall '-P 4 2 3'
loop_
_atom_site_label
_atom_site_type_symbol
_atom_site_fract_x
_atom_site_fract_y
_atom_site_fract_z
_atom_site_occupancy
Cu1 Cu 0.000 0.000 0.500 1
Tc1 Tc 0.500 0.500 0.500 1
C1 C 0.000 0.000 0.000 1

[12]
# CuTeC3, single point on PBEsol structure, DFT meta-GGA SCAN
# formation energy from raw total energies: 3.2837 eV/atom
data_CuTeC3
_cell_length_a 4.128
_cell_length_b 4.128
_cell_length_c 4.128
_cell_angle_alpha 90.00
_cell_angle_beta 90.00
_cell_angle_gamma 90.00
_space_group_name_H-M_alt 'P m -3 m'
_space_group_IT_number 221
_space_group_name_Hall '-P 4 2 3'
loop_
_atom_site_label
_atom_site_type_symbol
_atom_site_fract_x
_atom_site_fract_y
_atom_site_fract_z
_atom_site_occupancy
Cu1 Cu 0.000 0.000 0.000 1
Te1 Te 0.500 0.500 0.500 1
C1 C 0.000 0.500 0.500 1

Calculated total moment, 0.00; 0.00; 1.44; 0.66; 0.12; 0.00; 0.00; 2.90; 0.00; 0.00; 3.12; 0.00 μB/cell (same order as the records).